#i
Compound: Tb9NdDy2
Source: the Alexandria database
Functional: PBE
Structure: optimized geometry

Values from the calculation:
The volume is 32.1 Å³/atom. The size of the total moment comes out at 0.0000 μB/atom.

Cell lengths 5.0444, 5.0444, 15.1365 Å; angles 90.00, 90.00, 90.00 degrees
Last column: nearest neighbours and their distance in Å.
Sites, in units of the cell vectors:
Tb1 0.5000 0.5000 0.0000  4 Nd 3.57, 8 Tb 3.59
Tb2 0.5000 0.5000 0.3347  8 Tb 3.55-3.56, 4 Dy 3.57
Tb3 0.5000 0.5000 0.6653  8 Tb 3.55-3.56, 4 Dy 3.57
Tb4 0.5000 0.0000 0.1687  2 Dy 3.56, 8 Tb 3.56-3.59, 2 Nd 3.59
Tb5 0.5000 0.0000 0.5000  8 Tb 3.55-3.57, 4 Dy 3.56
Tb6 0.5000 0.0000 0.8313  2 Dy 3.56, 8 Tb 3.56-3.59, 2 Nd 3.59
Tb7 0.0000 0.5000 0.1687  2 Dy 3.56, 8 Tb 3.56-3.59, 2 Nd 3.59
Tb8 0.0000 0.5000 0.5000  8 Tb 3.55-3.57, 4 Dy 3.56
Tb9 0.0000 0.5000 0.8313  2 Dy 3.56, 8 Tb 3.56-3.59, 2 Nd 3.59
Nd1 0.0000 0.0000 0.0000  12 Tb 3.57-3.59
Dy1 0.0000 0.0000 0.3343  12 Tb 3.56-3.57
Dy2 0.0000 0.0000 0.6657  12 Tb 3.56-3.57

#ii
Compound: Tb9NdDy2
Source: the Alexandria database
Functional: PBE
Structure: optimized geometry

Values from the calculation:
The volume is 32.3 Å³/atom. The size of the total moment comes out at 0.0000 μB/atom.

Cell lengths 3.5161, 11.2800, 11.2800 Å; angles 120.00, 90.00, 90.00 degrees
Last column: nearest neighbours and their distance in Å.
Sites, in units of the cell vectors:
Tb1 0.0000 0.0000 0.5000  2 Dy 3.26, 10 Tb 3.52-3.61
Tb2 0.0000 0.5000 0.5000  2 Dy 3.26, 10 Tb 3.52-3.61
Tb3 0.0000 0.5000 0.0000  2 Dy 3.26, 10 Tb 3.52-3.61
Tb4 0.5000 0.3547 0.1773  8 Tb 3.46-3.61, 2 Dy 3.52
Tb5 0.5000 0.1773 0.8227  8 Tb 3.46-3.61, 2 Dy 3.52
Tb6 0.5000 0.1773 0.3547  8 Tb 3.46-3.61, 2 Dy 3.52
Tb7 0.5000 0.8227 0.6453  8 Tb 3.46-3.61, 2 Dy 3.52
Tb8 0.5000 0.8227 0.1773  8 Tb 3.46-3.61, 2 Dy 3.52
Tb9 0.5000 0.6453 0.8227  8 Tb 3.46-3.61, 2 Dy 3.52
Nd1 0.0000 0.0000 0.0000  2 Nd 3.52, 12 Tb 3.89
Dy1 0.0000 0.3333 0.6667  9 Tb 3.26-3.52, 2 Dy 3.52
Dy2 0.0000 0.6667 0.3333  9 Tb 3.26-3.52, 2 Dy 3.52

Which one sits at the top of the stability order? #i does.

#i
Compound: Tb3NdDy
Source: the Alexandria database
Functional: PBE
Structure: optimized geometry

Values from the calculation:
The volume is 35.4 Å³/atom. The size of the total moment comes out at 0.0000 μB/atom.

Cell lengths 3.6226, 8.5897, 11.6074 Å; angles 90.00, 90.00, 101.78 degrees
Last column: nearest neighbours and their distance in Å.
Sites, in units of the cell vectors:
Tb1 0.8398 0.1883 0.0000  2 Dy 3.37-3.47, 6 Tb 3.39-3.65
Tb2 0.1602 0.8117 0.0000  2 Dy 3.37-3.47, 6 Tb 3.39-3.65
Tb3 0.8398 0.1883 0.5000  2 Dy 3.37-3.47, 6 Tb 3.39-3.65
Tb4 0.1602 0.8117 0.5000  2 Dy 3.37-3.47, 6 Tb 3.39-3.65
Tb5 0.6529 0.8584 0.2500  2 Dy 3.22, 2 Nd 3.30-3.55, 4 Tb 3.39-3.50
Tb6 0.3471 0.1416 0.7500  2 Dy 3.22, 2 Nd 3.30-3.55, 4 Tb 3.39-3.50
Nd1 0.9218 0.5132 0.2500  2 Dy 3.28-3.47, 2 Tb 3.30-3.55, 2 Nd 3.62
Nd2 0.0782 0.4868 0.7500  2 Dy 3.28-3.47, 2 Tb 3.30-3.55, 2 Nd 3.62
Dy1 0.3067 0.1750 0.2500  6 Tb 3.22-3.47, 2 Nd 3.28-3.47
Dy2 0.6933 0.8250 0.7500  6 Tb 3.22-3.47, 2 Nd 3.28-3.47

#ii
Compound: Tb3NdDy
Source: the Alexandria database
Functional: PBE
Structure: optimized geometry

Values from the calculation:
The volume is 32.5 Å³/atom. The size of the total moment comes out at 0.0000 μB/atom.

Cell lengths 5.0622, 6.1973, 11.3334 Å; angles 90.11, 90.00, 114.11 degrees
Last column: nearest neighbours and their distance in Å.
Sites, in units of the cell vectors:
Tb1 0.7484 0.4967 0.7535  3 Dy 3.54-3.56, 6 Tb 3.57-3.58, 3 Nd 3.60-3.63
Tb2 0.2516 0.5033 0.2465  3 Dy 3.54-3.56, 6 Tb 3.57-3.58, 3 Nd 3.60-3.63
Tb3 0.4493 0.8985 0.8524  6 Tb 3.53-3.58, 5 Dy 3.56-3.57, 1 Nd 3.59
Tb4 0.5507 0.1015 0.1476  6 Tb 3.53-3.58, 5 Dy 3.56-3.57, 1 Nd 3.59
Tb5 0.9515 0.9029 0.3470  1 Dy 3.56, 6 Tb 3.58-3.64, 5 Nd 3.58-3.62
Tb6 0.0485 0.0971 0.6530  1 Dy 3.56, 6 Tb 3.58-3.64, 5 Nd 3.58-3.62
Nd1 0.3496 0.6991 0.5514  9 Tb 3.58-3.63, 3 Nd 3.58-3.60
Nd2 0.6504 0.3009 0.4486  9 Tb 3.58-3.63, 3 Nd 3.58-3.60
Dy1 0.1497 0.2995 0.9505  9 Tb 3.54-3.57, 3 Dy 3.57-3.58
Dy2 0.8503 0.7005 0.0495  9 Tb 3.54-3.57, 3 Dy 3.57-3.58

Which one sits at the top of the stability order? #ii does.

#i
Compound: TbNd4Dy4
Source: the Alexandria database
Functional: PBE
Structure: optimized geometry

Values from the calculation:
The volume is 33.1 Å³/atom. The size of the total moment comes out at 0.0000 μB/atom.

Cell lengths 5.0892, 8.0657, 8.0657 Å; angles 84.29, 71.61, 71.61 degrees
Last column: nearest neighbours and their distance in Å.
Sites, in units of the cell vectors:
Tb1 0.0000 0.0000 0.0000  8 Nd 3.60, 4 Dy 3.63
Nd1 0.6668 0.6666 0.9999  4 Nd 3.60-3.61, 2 Tb 3.60, 6 Dy 3.61
Nd2 0.3332 0.3334 0.0001  4 Nd 3.60-3.61, 2 Tb 3.60, 6 Dy 3.61
Nd3 0.6667 0.0001 0.6666  4 Nd 3.60-3.61, 2 Tb 3.60, 6 Dy 3.61
Nd4 0.3333 0.9999 0.3334  4 Nd 3.60-3.61, 2 Tb 3.60, 6 Dy 3.61
Dy1 0.6650 0.3350 0.3349  5 Dy 3.57-3.59, 6 Nd 3.61, 1 Tb 3.63
Dy2 0.3350 0.6650 0.6651  5 Dy 3.57-3.59, 6 Nd 3.61, 1 Tb 3.63
Dy3 0.0000 0.6651 0.3350  5 Dy 3.57-3.59, 6 Nd 3.61, 1 Tb 3.63
Dy4 0.0000 0.3349 0.6650  5 Dy 3.57-3.59, 6 Nd 3.61, 1 Tb 3.63

#ii
Compound: TbNd4Dy4
Source: the Alexandria database
Functional: PBE
Structure: optimized geometry

Values from the calculation:
The volume is 33.5 Å³/atom. The size of the total moment comes out at 0.0000 μB/atom.

Cell lengths 5.6439, 8.9496, 9.0009 Å; angles 44.80, 71.72, 71.60 degrees
Last column: nearest neighbours and their distance in Å.
Sites, in units of the cell vectors:
Tb1 0.5000 0.0000 0.0000  6 Nd 3.45-3.70, 6 Dy 3.62-3.69
Nd1 0.2812 0.1517 0.2860  2 Dy 3.38-3.61, 1 Tb 3.45, 3 Nd 3.53-3.54
Nd2 0.7188 0.8483 0.7140  2 Dy 3.38-3.61, 1 Tb 3.45, 3 Nd 3.53-3.54
Nd3 0.8669 0.3076 0.9590  5 Dy 3.34-3.70, 3 Nd 3.53-3.54, 2 Tb 3.70
Nd4 0.1331 0.6924 0.0410  5 Dy 3.34-3.70, 3 Nd 3.53-3.54, 2 Tb 3.70
Dy1 0.6244 0.4262 0.3247  2 Dy 3.39, 3 Nd 3.39-3.61, 1 Tb 3.62
Dy2 0.9278 0.7683 0.3763  4 Nd 3.34-3.70, 3 Dy 3.39-3.49, 2 Tb 3.69
Dy3 0.3756 0.5738 0.6753  2 Dy 3.39, 3 Nd 3.39-3.61, 1 Tb 3.62
Dy4 0.0722 0.2317 0.6237  4 Nd 3.34-3.70, 3 Dy 3.39-3.49, 2 Tb 3.69

Which one sits at the top of the stability order? #i does.

#i
Compound: TbNd3Dy
Source: the Alexandria database
Functional: PBE
Structure: optimized geometry

Values from the calculation:
The volume is 34.4 Å³/atom. The size of the total moment comes out at 0.0000 μB/atom.

Cell lengths 6.8861, 6.0970, 9.3833 Å; angles 108.53, 111.53, 90.00 degrees
Last column: nearest neighbours and their distance in Å.
Sites, in units of the cell vectors:
Tb1 0.4480 0.6992 0.8959  2 Tb 3.49-3.50, 7 Nd 3.66-3.83, 4 Dy 3.86
Tb2 0.5520 0.3008 0.1041  2 Tb 3.49-3.50, 7 Nd 3.66-3.83, 4 Dy 3.86
Nd1 0.7748 0.5271 0.5497  6 Nd 3.54-3.76, 1 Tb 3.66
Nd2 0.5819 0.0993 0.6972  2 Nd 3.21-3.24, 2 Dy 3.44-3.45
Nd3 0.2252 0.4729 0.4503  6 Nd 3.54-3.76, 1 Tb 3.66
Nd4 0.1153 0.0993 0.6972  2 Nd 3.21-3.24, 2 Dy 3.44-3.45
Nd5 0.4181 0.9007 0.3028  2 Nd 3.21-3.24, 2 Dy 3.44-3.45
Nd6 0.8847 0.9007 0.3028  2 Nd 3.21-3.24, 2 Dy 3.44-3.45
Dy1 0.0000 0.5000 0.0000  2 Dy 3.05
Dy2 0.0000 0.0000 0.0000  2 Dy 3.05

#ii
Compound: TbNd3Dy
Source: the Alexandria database
Functional: PBE
Structure: optimized geometry

Values from the calculation:
The volume is 33.7 Å³/atom. The size of the total moment comes out at 0.0000 μB/atom.

Cell lengths 3.6315, 9.6114, 13.0632 Å; angles 114.91, 81.96, 124.58 degrees
Last column: nearest neighbours and their distance in Å.
Sites, in units of the cell vectors:
Tb1 0.9980 0.5478 0.6493  2 Dy 3.60, 3 Tb 3.61-3.63, 7 Nd 3.61-3.64
Tb2 0.0020 0.4522 0.3507  2 Dy 3.60, 3 Tb 3.61-3.63, 7 Nd 3.61-3.64
Nd1 0.0001 0.1501 0.4498  3 Dy 3.60-3.62, 5 Nd 3.60-3.64, 4 Tb 3.61-3.64
Nd2 0.0027 0.3525 0.0510  3 Dy 3.61-3.65, 8 Nd 3.61-3.66, 1 Tb 3.62
Nd3 0.9995 0.0509 0.1517  8 Nd 3.60-3.66, 2 Tb 3.63, 2 Dy 3.64-3.65
Nd4 0.9999 0.8499 0.5502  3 Dy 3.60-3.62, 5 Nd 3.60-3.64, 4 Tb 3.61-3.64
Nd5 0.0005 0.9491 0.8483  8 Nd 3.60-3.66, 2 Tb 3.63, 2 Dy 3.64-3.65
Nd6 0.9973 0.6475 0.9490  3 Dy 3.61-3.65, 8 Nd 3.61-3.66, 1 Tb 3.62
Dy1 0.0033 0.2509 0.7481  8 Nd 3.60-3.65, 2 Tb 3.60, 2 Dy 3.63
Dy2 0.9967 0.7491 0.2519  8 Nd 3.60-3.65, 2 Tb 3.60, 2 Dy 3.63

Which one sits at the top of the stability order? #ii does.